(1)
12
Lattice="6.642 0.000 0.000 0.000 5.815 -0.550 -3.321 -1.864 4.634" Properties=species:S:1:pos:R:3 comment="GGA-PBE Ca2AlO3, optimized geometry" final_energy_ev_per_cell=-75.65 raw_formation_energy_mev_per_atom=-2534 pbc="T T T"
Ca 2.678 -0.118 1.446
O 2.221 1.454 -0.137
Al 6.253 4.361 -0.412
Ca 0.643 4.068 2.637
O -0.300 2.748 0.997
O 4.421 4.361 -0.412
O 0.300 -0.159 1.272
Ca 3.964 2.789 1.171
O 3.621 1.202 3.087
O 3.021 4.109 2.812
Ca -0.643 1.161 2.912
Al 0.389 1.454 -0.137

---

(2)
5
Lattice="4.944 0.000 0.000 0.000 5.651 0.000 0.000 0.000 4.944" Properties=species:S:1:pos:R:3 comment="GGA-PBE KNaPtW2, optimized geometry" formation_enthalpy_0k_mev_per_atom=1466 final_energy_ev_per_cell=-27.03 pbc="T T T"
Pt 0.000 0.000 0.000
W 2.472 0.000 0.000
Na 0.000 2.826 0.000
W 0.000 0.000 2.472
K 2.472 2.826 2.472

---

(3)
4
Lattice="1.077 2.450 2.389 -3.502 -0.541 -0.560 -0.050 -4.851 4.997" Properties=species:S:1:pos:R:3 comment="GGA-PBE PSe, optimized geometry" relative_energy_mev_per_atom=540.5 final_energy_ev_per_cell=-15.95 raw_formation_energy_mev_per_atom=460 pbc="T T T"
P 0.000 0.000 0.000
Se -1.988 -0.756 1.672
Se -0.487 -2.185 5.154
P -0.025 -2.425 2.498

---

(4)
4
Lattice="3.559 0.000 0.000 0.000 3.595 0.087 0.000 1.107 8.373" Properties=species:S:1:pos:R:3 comment="GGA-PBE LiSe2Cl, optimized geometry" relative_energy_mev_per_atom=0.0 final_energy_ev_per_cell=-13.81 raw_formation_energy_mev_per_atom=-769 pbc="T T T"
Se 0.000 2.940 0.945
Se 1.779 0.917 1.676
Li 1.779 0.702 4.969
Cl 0.000 2.495 5.101

---

(5)
16
Lattice="5.446 -0.940 0.000 -0.937 5.446 0.000 0.000 0.000 9.012" Properties=species:S:1:pos:R:3 comment="GGA-PBE Nb3Mo13, optimized geometry" formation_enthalpy_0k_mev_per_atom=-85 relative_energy_mev_per_atom=0.0 final_energy_ev_per_cell=-172.38 pbc="T T T"
Mo 1.781 4.972 6.736
Nb -0.937 5.446 6.750
Mo 1.137 1.137 4.506
Nb 3.849 0.658 0.000
Mo -0.464 2.728 6.736
Mo 0.660 3.848 4.506
Mo 1.137 1.136 0.000
Mo 0.660 3.848 0.000
Mo 2.254 2.254 2.262
Mo 2.254 2.254 6.750
Mo 1.781 4.972 2.275
Mo 3.848 0.659 4.506
Mo -0.464 2.728 2.275
Mo 3.372 3.371 4.506
Nb -0.937 5.446 2.262
Mo 3.372 3.370 0.000

---

(6)
5
Lattice="-1.603 1.363 -4.080 -2.790 -3.643 -0.121 -3.274 2.438 2.101" Properties=species:S:1:pos:R:3 comment="GGA-PBE NaLiMo3, optimized geometry" formation_enthalpy_0k_mev_per_atom=2662 relative_energy_mev_per_atom=965.6 final_energy_ev_per_cell=-22.42 pbc="T T T"
Mo -1.637 1.219 1.050
Li -3.834 0.079 -1.050
Na 0.000 0.000 0.000
Mo -0.802 0.681 -2.040
Mo -1.395 -1.822 -0.060

---

Copy entry 5 word for word.
16
Lattice="5.446 -0.940 0.000 -0.937 5.446 0.000 0.000 0.000 9.012" Properties=species:S:1:pos:R:3 comment="GGA-PBE Nb3Mo13, optimized geometry" formation_enthalpy_0k_mev_per_atom=-85 relative_energy_mev_per_atom=0.0 final_energy_ev_per_cell=-172.38 pbc="T T T"
Mo 1.781 4.972 6.736
Nb -0.937 5.446 6.750
Mo 1.137 1.137 4.506
Nb 3.849 0.658 0.000
Mo -0.464 2.728 6.736
Mo 0.660 3.848 4.506
Mo 1.137 1.136 0.000
Mo 0.660 3.848 0.000
Mo 2.254 2.254 2.262
Mo 2.254 2.254 6.750
Mo 1.781 4.972 2.275
Mo 3.848 0.659 4.506
Mo -0.464 2.728 2.275
Mo 3.372 3.371 4.506
Nb -0.937 5.446 2.262
Mo 3.372 3.370 0.000

---

Repeat the fourth record exactly.
4
Lattice="3.559 0.000 0.000 0.000 3.595 0.087 0.000 1.107 8.373" Properties=species:S:1:pos:R:3 comment="GGA-PBE LiSe2Cl, optimized geometry" relative_energy_mev_per_atom=0.0 final_energy_ev_per_cell=-13.81 raw_formation_energy_mev_per_atom=-769 pbc="T T T"
Se 0.000 2.940 0.945
Se 1.779 0.917 1.676
Li 1.779 0.702 4.969
Cl 0.000 2.495 5.101